No. 1
CaMgCr2 | PBE-GGA | relaxed

abc: 2.654 2.654 9.495
angles: 90.00 90.00 90.26
Element x y z (fractional)
Ca 0.000 0.000 0.000
Mg 0.000 0.000 0.500
Cr 0.500 0.500 0.268
Cr 0.500 0.500 0.732


No. 2
La3Al4 | PBE-GGA | relaxed

abc: 10.320 10.320 10.320
angles: 155.44 154.77 35.50
Element x y z (fractional)
La 0.000 0.000 0.000
La 0.186 0.686 0.500
La 0.814 0.314 0.500
Al 0.362 0.862 0.500
Al 0.435 0.435 0.000
Al 0.565 0.565 0.000
Al 0.638 0.138 0.500


No. 3
Zn2CuAgAu | PBE-GGA | relaxed

abc: 3.968 3.939 10.091
angles: 90.00 101.27 90.00
Element x y z (fractional)
Zn 0.057 0.250 0.114
Zn 0.251 0.250 0.502
Zn 0.749 0.750 0.498
Zn 0.943 0.750 0.886
Cu 0.346 0.750 0.691
Cu 0.654 0.250 0.309
Ag 0.449 0.250 0.897
Ag 0.551 0.750 0.103
Au 0.157 0.750 0.314
Au 0.843 0.250 0.686


No. 4
Y2ZnBi | PBE-GGA | relaxed

abc: 6.697 6.697 6.697
angles: 106.19 106.19 116.25
Element x y z (fractional)
Y 0.102 0.625 0.977
Y 0.375 0.352 0.477
Y 0.648 0.125 0.023
Y 0.875 0.898 0.523
Zn 0.000 0.000 0.000
Zn 0.750 0.250 0.500
Bi 0.250 0.750 0.500
Bi 0.500 0.500 0.000

Output
The value obtained for the relative energy among the computed polymorphs is 202 meV/atom.


| no. | volume (A^3/atom) | final energy (eV per cell) |
| --- | --- | --- |
| 1 | 16.7 | -18.99 |
| 2 | 27.8 | -32.53 |
| 3 | 15.5 | -26.51 |
| 4 | 28.6 | -38.45 |